Record 1
An optimized crystal structure of BaH4Rh. Source: Alexandria, functional PBE-GGA.

Unit cell a=6.693 b=8.884 c=5.328 alpha=90.00 beta=93.68 gamma=90.00
Space group C2/c (No. 15)
Symmetry-distinct sites (fractional):
Ba: 0.000 0.180 0.250
H: 0.132 0.284 0.857
H: 0.136 0.439 0.466
Rh: 0.000 0.427 0.750

Properties
E_tot   -4.154 eV/atom
Total magnetic moment   0.0 μB per cell
Calculated volume   13.17 Å³/atom

***

Record 2
An optimized crystal structure of Ba2HRhS. Source: Alexandria, functional PBE-GGA.

Unit cell a=5.605 b=5.605 c=3.687 alpha=90.00 beta=90.00 gamma=90.00
Space group P4/mmm (No. 123)
Symmetry-distinct sites (fractional):
Ba: 0.000 0.500 0.000
H: 0.000 0.000 0.000
Rh: 0.000 0.000 0.500
S: 0.500 0.500 0.500

Properties
E_tot   -4.575 eV/atom
Total magnetic moment   0.0 μB per cell
Calculated volume   23.17 Å³/atom

***

Record 3
An optimized crystal structure of Ba2H4RhS2. Source: Alexandria, functional PBE-GGA.

Unit cell a=6.189 b=6.189 c=8.622 alpha=90.00 beta=90.00 gamma=90.00
Space group I4/mmm (No. 139)
Symmetry-distinct sites (fractional):
Ba: 0.000 0.500 0.250
H: 0.193 0.193 0.000
Rh: 0.000 0.000 0.000
S: 0.000 0.000 0.274

Properties
E_tot   -4.401 eV/atom
Total magnetic moment   1.6 μB per cell
Calculated volume   18.35 Å³/atom

***

Record 4
An optimized crystal structure of BaSbH2Rh2. Source: Alexandria, functional PBE-GGA.

Unit cell a=5.862 b=5.677 c=7.486 alpha=90.00 beta=103.71 gamma=90.00
Space group P2_1/m (No. 11)
Symmetry-distinct sites (fractional):
Ba: 0.210 0.250 0.357
Sb: 0.285 0.750 0.072
H: 0.176 0.250 0.708
H: 0.293 0.750 0.649
Rh: 0.342 0.001 0.798

Properties
E_tot   -4.967 eV/atom
Total magnetic moment   0.0 μB per cell
Calculated volume   20.17 Å³/atom

***

Record 5
An optimized crystal structure of BaSbHRh2. Source: Alexandria, functional PBE-GGA.

Unit cell a=4.235 b=11.945 c=7.528 alpha=90.00 beta=90.00 gamma=90.00
Space group Cmcm (No. 63)
Symmetry-distinct sites (fractional):
Ba: 0.000 0.056 0.250
Sb: 0.000 0.220 0.750
H: 0.000 0.500 0.000
Rh: 0.000 0.340 0.053

Properties
E_tot   -5.294 eV/atom
Total magnetic moment   0.0 μB per cell
Calculated volume   19.04 Å³/atom

***

Record 6
An optimized crystal structure of BaSb2HRh. Source: Alexandria, functional PBE-GGA.

Unit cell a=6.135 b=6.135 c=4.045 alpha=90.00 beta=90.00 gamma=90.00
Space group P4/mmm (No. 123)
Symmetry-distinct sites (fractional):
Ba: 0.000 0.000 0.000
Sb: 0.000 0.500 0.000
H: 0.000 0.000 0.500
Rh: 0.500 0.500 0.500

Properties
E_tot   -3.011 eV/atom
Total magnetic moment   0.5 μB per cell
Calculated volume   30.45 Å³/atom

***

Record 7
An optimized crystal structure of Ba2SbHRh. Source: Alexandria, functional PBE-GGA.

Unit cell a=6.071 b=6.071 c=3.629 alpha=90.00 beta=90.00 gamma=90.00
Space group P4/mmm (No. 123)
Symmetry-distinct sites (fractional):
Ba: 0.000 0.500 0.000
Sb: 0.000 0.000 0.500
H: 0.500 0.500 0.000
Rh: 0.500 0.500 0.500

Properties
E_tot   -4.206 eV/atom
Total magnetic moment   0.2 μB per cell
Calculated volume   26.75 Å³/atom

***

Record 8
An optimized crystal structure of BaSbHRh. Source: Alexandria, functional PBE-GGA.

Unit cell a=4.501 b=4.501 c=9.048 alpha=90.00 beta=90.00 gamma=90.00
Space group P4/nmm (No. 129, origin choice 2)
Symmetry-distinct sites (fractional):
Ba: 0.250 0.250 0.156
Sb: 0.250 0.250 0.650
H: 0.250 0.750 0.000
Rh: 0.250 0.750 0.500

Properties
E_tot   -4.841 eV/atom
Total magnetic moment   0.0 μB per cell
Calculated volume   22.92 Å³/atom

***

Record 9
An optimized crystal structure of Ba2ScH12Rh3. Source: Alexandria, functional PBE-GGA.

Unit cell a=6.8499 b=6.8499 c=14.1923 alpha=90.00 beta=90.00 gamma=120.00
Space group R-3m (No. 166, hexagonal axes)
Symmetry-distinct sites (fractional):
Ba: 0.0000 0.0000 0.1207
Sc: 0.0000 0.0000 0.5000
H: 0.0142 0.5071 0.1178
H: 0.0843 0.5421 0.3353
Rh: 0.0000 0.5000 0.0000

Properties
E_tot   -4.462 eV/atom
Total magnetic moment   0.0 μB per cell
Calculated volume   10.68 Å³/atom

***

Record 10
An optimized crystal structure of Ba2SmH12Rh3. Source: Alexandria, functional PBE-GGA.

Unit cell a=6.9430 b=6.9430 c=14.7289 alpha=90.00 beta=90.00 gamma=120.00
Space group R-3m (No. 166, hexagonal axes)
Symmetry-distinct sites (fractional):
Ba: 0.0000 0.0000 0.1148
Sm: 0.0000 0.0000 0.5000
H: 0.0195 0.5098 0.8865
H: 0.0896 0.5448 0.3247
Rh: 0.0000 0.5000 0.0000

Properties
E_tot   -4.374 eV/atom
Total magnetic moment   0.0 μB per cell
Calculated volume   11.39 Å³/atom

***

Record 11
An optimized crystal structure of BaSmH6Rh2. Source: Alexandria, functional PBE-GGA.

Unit cell a=8.175 b=10.030 c=6.945 alpha=90.00 beta=115.01 gamma=90.00
Space group C2/c (No. 15)
Symmetry-distinct sites (fractional):
Ba: 0.000 0.156 0.250
Sm: 0.000 0.410 0.750
H: 0.092 0.397 0.120
H: 0.166 0.261 0.636
H: 0.187 0.041 0.017
Rh: 0.186 0.147 0.826

Properties
E_tot   -4.573 eV/atom
Total magnetic moment   4.1 μB per cell
Calculated volume   12.90 Å³/atom

***

Record 12
An optimized crystal structure of Ba2SnHRh. Source: Alexandria, functional PBE-GGA.

Unit cell a=5.977 b=5.977 c=3.711 alpha=90.00 beta=90.00 gamma=90.00
Space group P4/mmm (No. 123)
Symmetry-distinct sites (fractional):
Ba: 0.000 0.500 0.000
Sn: 0.000 0.000 0.500
H: 0.500 0.500 0.000
Rh: 0.500 0.500 0.500

Properties
E_tot   -4.022 eV/atom
Total magnetic moment   0.0 μB per cell
Calculated volume   26.51 Å³/atom

***

Record 13
An optimized crystal structure of Ba2SnH6Rh. Source: Alexandria, functional PBE-GGA.

Unit cell a=5.4218 b=5.4218 c=6.8261 alpha=90.00 beta=90.00 gamma=120.00
Space group P-3m1 (No. 164)
Symmetry-distinct sites (fractional):
Ba: 0.3333 0.6667 0.2775
Sn: 0.0000 0.0000 0.0000
H: 0.1485 0.2969 0.6380
Rh: 0.0000 0.0000 0.5000

Properties
E_tot   -3.924 eV/atom
Total magnetic moment   0.8 μB per cell
Calculated volume   17.38 Å³/atom

***

Record 14
An optimized crystal structure of Ba2SrH5Rh. Source: Alexandria, functional PBE-GGA.

Unit cell a=7.738 b=7.738 c=5.440 alpha=90.00 beta=90.00 gamma=90.00
Space group P4/mbm (No. 127)
Symmetry-distinct sites (fractional):
Ba: 0.183 0.317 0.000
Sr: 0.000 0.000 0.500
H: 0.000 0.000 0.000
H: 0.111 0.611 0.278
Rh: 0.000 0.500 0.500

Properties
E_tot   -3.655 eV/atom
Total magnetic moment   0.0 μB per cell
Calculated volume   18.10 Å³/atom

***

Record 15
An optimized crystal structure of Ba2Sr2HRh2. Source: Alexandria, functional PBE-GGA.

Unit cell a=14.132 b=4.387 c=8.499 alpha=90.00 beta=124.54 gamma=90.00
Space group C2/m (No. 12)
Symmetry-distinct sites (fractional):
Ba: 0.042 0.000 0.271
Sr: 0.209 0.500 0.790
H: 0.000 0.500 0.500
Rh: 0.108 0.500 0.049

Properties
E_tot   -3.818 eV/atom
Total magnetic moment   0.0 μB per cell
Calculated volume   31.00 Å³/atom

***

Record 16
An optimized crystal structure of Ba2SrH8Rh. Source: Alexandria, functional PBE-GGA.

Unit cell a=5.4447 b=5.4447 c=6.9847 alpha=90.00 beta=90.00 gamma=120.00
Space group P-3m1 (No. 164)
Symmetry-distinct sites (fractional):
Ba: 0.3333 0.6667 0.3106
Sr: 0.0000 0.0000 0.0000
H: 0.1466 0.2932 0.6414
H: 0.3333 0.6667 0.9395
Rh: 0.0000 0.0000 0.5000

Properties
E_tot   -3.688 eV/atom
Total magnetic moment   0.0 μB per cell
Calculated volume   14.94 Å³/atom

***

Record 17
An optimized crystal structure of Ba6Sr2HRh. Source: Alexandria, functional PBE-GGA.

Unit cell a=8.814 b=8.814 c=12.478 alpha=90.00 beta=90.00 gamma=90.00
Space group I4/mmm (No. 139)
Symmetry-distinct sites (fractional):
Ba: 0.000 0.000 0.249
Ba: 0.249 0.249 0.000
Sr: 0.000 0.500 0.250
H: 0.000 0.000 0.500
Rh: 0.000 0.000 0.000

Properties
E_tot   -2.702 eV/atom
Total magnetic moment   0.0 μB per cell
Calculated volume   48.47 Å³/atom

***

Record 18
An optimized crystal structure of BaSrH4Rh. Source: Alexandria, functional PBE-GGA.

Unit cell a=5.418 b=15.866 c=5.459 alpha=90.00 beta=90.00 gamma=90.00
Space group Cmcm (No. 63)
Symmetry-distinct sites (fractional):
Ba: 0.000 0.117 0.250
Sr: 0.000 0.363 0.250
H: 0.000 0.138 0.750
H: 0.000 0.357 0.750
H: 0.250 0.250 0.000
Rh: 0.000 0.248 0.750

Properties
E_tot   -3.956 eV/atom
Total magnetic moment   0.0 μB per cell
Calculated volume   16.76 Å³/atom

***

Record 19
An optimized crystal structure of BaTa2HRh. Source: Alexandria, functional PBE-GGA.

Unit cell a=4.768 b=4.768 c=6.734 alpha=90.00 beta=90.00 gamma=90.00
Space group P4/mmm (No. 123)
Symmetry-distinct sites (fractional):
Ba: 0.000 0.000 0.000
Ta: 0.000 0.500 0.500
H: 0.500 0.500 0.000
Rh: 0.000 0.000 0.500

Properties
E_tot   -6.074 eV/atom
Total magnetic moment   2.0 μB per cell
Calculated volume   30.62 Å³/atom

***

Record 20
An optimized crystal structure of Ba2TbH12Rh3. Source: Alexandria, functional PBE-GGA.

Unit cell a=6.9442 b=6.9442 c=14.5106 alpha=90.00 beta=90.00 gamma=120.00
Space group R-3m (No. 166, hexagonal axes)
Symmetry-distinct sites (fractional):
Ba: 0.0000 0.0000 0.1164
Tb: 0.0000 0.0000 0.5000
H: 0.0112 0.5056 0.8848
H: 0.0899 0.5449 0.3265
Rh: 0.0000 0.5000 0.0000

Properties
E_tot   -4.379 eV/atom
Total magnetic moment   0.0 μB per cell
Calculated volume   11.22 Å³/atom

***

Record 21
An optimized crystal structure of Ba2TeHRh. Source: Alexandria, functional PBE-GGA.

Unit cell a=5.907 b=5.907 c=3.818 alpha=90.00 beta=90.00 gamma=90.00
Space group P4/mmm (No. 123)
Symmetry-distinct sites (fractional):
Ba: 0.000 0.500 0.000
Te: 0.000 0.000 0.500
H: 0.500 0.500 0.000
Rh: 0.500 0.500 0.500

Properties
E_tot   -4.253 eV/atom
Total magnetic moment   0.0 μB per cell
Distance to the lowest polymorph of the same formula   0 meV per atom
Calculated volume   26.64 Å³/atom